Record 1
Computed, not measured: a relaxed structure of Dy8Ir2Rh at the PBE-GGA level of DFT.

Cell: 5.946 7.507 7.507 Å, 112.46 100.31 100.31°
Fractional positions:
Dy 0.584 0.341 0.081
Dy 0.584 0.081 0.341
Dy 0.174 0.362 0.362
Dy 0.989 0.216 0.787
Dy 0.989 0.787 0.216
Dy 0.803 0.642 0.642
Dy 0.383 0.927 0.667
Dy 0.383 0.667 0.927
Ir 0.490 0.694 0.317
Ir 0.490 0.317 0.694
Rh 0.133 0.001 0.001

## Properties
V (Å³ per atom): 26.659
SG: Cm (8)
Total DFT energy (no corrections) (eV per atom): -6.1063
ΔE_f (eV per atom): -0.480

---

Record 2
Computed, not measured: a relaxed structure of CsSr2F at the PBE-GGA level of DFT.

Cell: 8.380 8.380 8.373 Å, 59.97 59.97 90.00°
Fractional positions:
Cs 0.000 0.000 0.000
Cs 0.750 0.250 0.500
Sr 0.377 0.125 0.250
Sr 0.373 0.625 0.250
Sr 0.375 0.623 0.750
Sr 0.875 0.627 0.750
F 0.500 0.500 0.000
F 0.250 0.750 0.500

## Properties
V (Å³ per atom): 51.927
Formation energy (no corrections) (eV/f.u.): -5.17
SG: I-42d (122)
Total DFT energy (no corrections) (eV per atom): -2.8135

---

Record 3
Computed, not measured: a relaxed structure of TePtSeN2 at the PBE-GGA level of DFT.

Cell: 3.834 3.834 6.618 Å, 90.00 90.00 90.00°
Site moments in Bohr magnetons follow the coordinates.
Fractional positions:
Te 0.000 0.000 0.000  -0.01
Se 0.000 0.000 0.500  0.01
Pt 0.500 0.500 0.500  0.04
N 0.000 0.500 0.000  0.07
N 0.500 0.000 0.000  0.07

## Properties
V (Å³ per atom): 19.455
Formation energy (no corrections) (eV/f.u.): 7.73
SG: P4/mmm (123)
Total DFT energy (no corrections) (eV per atom): -4.3167

---

Record 4
Computed, not measured: a relaxed structure of RbCaNb at the PBE-GGA level of DFT.

Cell: 14.732 5.693 5.796 Å, 90.00 90.00 90.00°
Site moments in Bohr magnetons follow the coordinates.
Fractional positions:
Nb 0.490 0.250 0.000  0.42
Nb 0.010 0.750 0.500  0.42
Nb 0.510 0.750 0.000  0.42
Nb 0.990 0.250 0.500  0.42
Ca 0.000 0.000 0.000  0.01
Ca 0.500 0.500 0.500  0.01
Ca 0.500 0.000 0.500  0.01
Ca 0.000 0.500 0.000  0.01
Rb 0.734 0.250 0.015  0.01
Rb 0.766 0.750 0.515  0.01
Rb 0.266 0.750 0.985  0.01
Rb 0.234 0.250 0.485  0.01

## Properties
V (Å³ per atom): 40.510
SG: Pnma (62)
Total DFT energy (no corrections) (eV per atom): -3.2469
ΔE_f (eV per atom): 1.099

---

Record 5
Computed, not measured: a relaxed structure of Nb2ReW at the PBE-GGA level of DFT.

Cell: 4.568 5.575 5.575 Å, 109.42 90.00 90.00°
Fractional positions:
Nb 0.750 0.626 0.876
Nb 0.750 0.124 0.374
Nb 0.250 0.374 0.124
Nb 0.250 0.876 0.626
Re 0.250 0.874 0.126
Re 0.750 0.126 0.874
W 0.250 0.376 0.624
W 0.750 0.624 0.376

## Properties
V (Å³ per atom): 16.738
SG: Cmcm (63)
Total DFT energy (no corrections) (eV per atom): -11.5782
ΔE_f (eV per atom): -0.193

---

Record 6
Computed, not measured: a relaxed structure of BaCePaO6 at the PBE-GGA level of DFT.

Cell: 6.093 6.093 10.739 Å, 90.00 90.00 120.00°
Site moments in Bohr magnetons follow the coordinates.
Fractional positions:
Ba 0.000 0.000 0.000  0.01
Ba 0.000 0.000 0.500  0.01
Ce 0.667 0.333 0.250  -0.01
Ce 0.333 0.667 0.750  -0.01
Pa 0.333 0.667 0.250  0.05
Pa 0.667 0.333 0.750  0.05
O 0.622 0.634 0.148  0.13
O 0.012 0.378 0.148  0.13
O 0.378 0.012 0.648  0.13
O 0.988 0.622 0.852  0.13
O 0.366 0.378 0.352  0.13
O 0.012 0.634 0.352  0.13
O 0.634 0.012 0.852  0.13
O 0.622 0.988 0.352  0.13
O 0.988 0.366 0.648  0.13
O 0.366 0.988 0.148  0.13
O 0.634 0.622 0.648  0.13
O 0.378 0.366 0.852  0.13

## Properties
V (Å³ per atom): 19.182
Formation energy (no corrections) (eV/f.u.): -27.52
SG: P-31c (163)
Total DFT energy (no corrections) (eV per atom): -8.2917

---

Record 7
Computed, not measured: a relaxed structure of Ho2Mg2Cd15 at the PBE-GGA level of DFT.

Cell: 7.652 7.652 7.652 Å, 81.37 81.37 81.37°
Fractional positions:
Ho 0.331 0.331 0.331
Ho 0.669 0.669 0.669
Mg 0.102 0.102 0.102
Mg 0.898 0.898 0.898
Cd 0.500 0.000 0.000
Cd 0.000 0.000 0.500
Cd 0.000 0.500 0.000
Cd 0.000 0.702 0.298
Cd 0.702 0.298 0.000
Cd 0.298 0.000 0.702
Cd 0.298 0.702 0.000
Cd 0.702 0.000 0.298
Cd 0.000 0.298 0.702
Cd 0.157 0.636 0.636
Cd 0.636 0.636 0.157
Cd 0.636 0.157 0.636
Cd 0.843 0.364 0.364
Cd 0.364 0.364 0.843
Cd 0.364 0.843 0.364

## Properties
V (Å³ per atom): 22.856
SG: R-3m (166)
Total DFT energy (no corrections) (eV per atom): -1.4704
ΔE_f (eV per atom): -0.098

---

Record 8
Computed, not measured: a relaxed structure of SrMn2IrPt at the PBE-GGA level of DFT.

Cell: 4.749 4.950 4.749 Å, 90.00 90.00 90.00°
Site moments in Bohr magnetons follow the coordinates.
Fractional positions:
Sr 0.000 0.000 0.000  -0.06
Ir 0.500 0.500 0.500  0.50
Pt 0.000 0.500 0.000  0.13
Mn 0.000 0.000 0.500  3.40
Mn 0.500 0.000 0.000  3.95

## Properties
V (Å³ per atom): 22.326
SG: P4/mmm (123)
Total DFT energy (no corrections) (eV per atom): -4.7146
ΔE_f (eV per atom): 2.270

---

Record 9
Computed, not measured: a relaxed structure of K2CuP2O6 at the PBE-GGA level of DFT.

Cell: 5.625 5.625 6.427 Å, 64.05 64.05 60.00°
Fractional positions:
K 0.778 0.778 0.667
K 0.222 0.222 0.333
Cu 0.000 0.000 0.000
P 0.432 0.432 0.704
P 0.568 0.568 0.296
O 0.743 0.743 0.233
O 0.281 0.743 0.233
O 0.743 0.281 0.233
O 0.257 0.719 0.767
O 0.719 0.257 0.767
O 0.257 0.257 0.767

## Properties
V (Å³ per atom): 13.816
Formation energy (no corrections) (eV/f.u.): -19.91
SG: R-3m (166)
Total DFT energy (no corrections) (eV per atom): -6.0700

---

Record 10
Computed, not measured: a relaxed structure of ZrCu3Br at the PBE-GGA level of DFT.

Cell: 4.603 4.603 4.603 Å, 90.00 90.00 90.00°
Fractional positions:
Cu 0.000 0.500 0.000
Cu 0.000 0.000 0.500
Cu 0.500 0.000 0.000
Br 0.000 0.000 0.000
Zr 0.500 0.500 0.500

## Properties
V (Å³ per atom): 19.507
Formation energy (no corrections) (eV/f.u.): 5.11
SG: Pm-3m (221)
Total DFT energy (no corrections) (eV per atom): -3.4791

---

Record 11
Computed, not measured: a relaxed structure of PaBeB at the PBE-GGA level of DFT.

Cell: 3.912 3.465 3.465 Å, 120.00 90.00 90.00°
Fractional positions:
Be 0.167 0.667 0.333
B 0.167 0.000 0.000
Pa 0.667 0.333 0.667

## Properties
V (Å³ per atom): 13.559
SG: P-6m2 (187)
Total DFT energy (no corrections) (eV per atom): -6.9155
ΔE_f (eV per atom): -0.282

---

Record 12
Computed, not measured: a relaxed structure of TaMnTc2 at the PBE-GGA level of DFT.

Cell: 2.721 2.721 7.900 Å, 90.00 90.00 90.00°
Fractional positions:
Mn 0.500 0.500 0.250
Ta 0.500 0.500 0.750
Tc 0.000 0.000 0.036
Tc 0.000 0.000 0.464

## Properties
V (Å³ per atom): 14.621
SG: P4/mmm (123)
Total DFT energy (no corrections) (eV per atom): -10.3836
ΔE_f (eV per atom): 0.055

---

Record 13
Computed, not measured: a relaxed structure of CdFeOs2W at the PBE-GGA level of DFT.

Cell: 4.705 4.372 4.705 Å, 90.00 90.00 90.00°
Site moments in Bohr magnetons follow the coordinates.
Fractional positions:
Os 0.000 0.000 0.500  -0.16
Os 0.500 0.000 0.000  -0.12
Fe 0.000 0.500 0.000  -0.07
W 0.500 0.500 0.500  0.35
Cd 0.000 0.000 0.000  0.00

## Properties
V (Å³ per atom): 19.354
SG: P4/mmm (123)
Total DFT energy (no corrections) (eV per atom): -5.9377
ΔE_f (eV per atom): 3.020

---

Record 14
Computed, not measured: a relaxed structure of KTlGeCl4 at the PBE-GGA level of DFT.

Cell: 5.244 5.244 8.814 Å, 107.31 107.31 90.00°
Fractional positions:
K 0.638 0.638 0.277
Tl 0.355 0.355 0.710
Ge 0.998 0.998 0.996
Cl 0.003 0.503 0.006
Cl 0.503 0.003 0.006
Cl 0.834 0.834 0.669
Cl 0.168 0.168 0.336

## Properties
V (Å³ per atom): 31.416
Formation energy (no corrections) (eV/f.u.): -8.29
SG: I4mm (107)
Total DFT energy (no corrections) (eV per atom): -3.3934

---

Record 15
Computed, not measured: a relaxed structure of Li4CdSb at the PBE-GGA level of DFT.

Cell: 5.458 5.458 5.458 Å, 60.00 60.00 60.00°
Fractional positions:
Li 0.874 0.375 0.375
Li 0.375 0.375 0.874
Li 0.375 0.874 0.375
Li 0.375 0.375 0.375
Cd 0.000 0.000 0.000
Sb 0.750 0.750 0.750

## Properties
V (Å³ per atom): 19.162
Formation energy (no corrections) (eV/f.u.): -0.94
SG: F-43m (216)
Total DFT energy (no corrections) (eV per atom): -2.2727

---

Record 16
Computed, not measured: a relaxed structure of KCdIn at the PBE-GGA level of DFT.

Cell: 5.380 5.380 5.380 Å, 60.00 60.00 60.00°
Fractional positions:
Cd 0.750 0.750 0.750
In 0.000 0.000 0.000
K 0.500 0.500 0.500

## Properties
V (Å³ per atom): 36.699
SG: F-43m (216)
Total DFT energy (no corrections) (eV per atom): -1.4954
ΔE_f (eV per atom): 0.088

---

Record 17
Computed, not measured: a relaxed structure of LiCr3Re at the PBE-GGA level of DFT.

Cell: 4.723 4.723 4.723 Å, 90.00 90.00 90.00°
Site moments in Bohr magnetons follow the coordinates.
Fractional positions:
Re 0.000 0.000 0.000  -0.85
Li 0.500 0.500 0.500  -0.01
Cr 0.000 0.500 0.000  2.87
Cr 0.000 0.000 0.500  2.60
Cr 0.500 0.000 0.000  3.29

## Properties
V (Å³ per atom): 21.074
SG: Pm-3m (221)
Total DFT energy (no corrections) (eV per atom): -7.4346
ΔE_f (eV per atom): 1.212

---

Record 18
Computed, not measured: a relaxed structure of Rb2VPbSe at the PBE-GGA level of DFT.

Cell: 6.716 4.749 6.716 Å, 90.00 90.00 90.00°
Site moments in Bohr magnetons follow the coordinates.
Fractional positions:
Pb 0.500 0.500 0.500  -0.37
Se 0.000 0.000 0.000  -0.14
Rb 0.000 0.000 0.500  -0.01
Rb 0.500 0.000 0.000  -0.01
V 0.000 0.500 0.000  2.78

## Properties
V (Å³ per atom): 42.842
Formation energy (no corrections) (eV/f.u.): 0.23
SG: P4/mmm (123)
Total DFT energy (no corrections) (eV per atom): -3.6036

---

Record 19
Computed, not measured: a relaxed structure of CsTl2O at the PBE-GGA level of DFT.

Cell: 5.570 5.570 5.570 Å, 60.00 60.00 60.00°
Fractional positions:
Cs 0.500 0.500 0.500
Tl 0.250 0.250 0.250
Tl 0.750 0.750 0.750
O 0.000 0.000 0.000

## Properties
V (Å³ per atom): 30.549
Formation energy (no corrections) (eV/f.u.): 0.77
SG: Fm-3m (225)
Total DFT energy (no corrections) (eV per atom): -2.4430

---

Record 20
Computed, not measured: a relaxed structure of Ag2PdI2 at the PBE-GGA level of DFT.

Cell: 7.796 7.796 4.283 Å, 90.00 90.00 90.00°
Fractional positions:
I 0.308 0.808 0.000
I 0.808 0.692 0.000
I 0.692 0.192 0.000
I 0.192 0.308 0.000
Pd 0.000 0.000 0.000
Pd 0.500 0.500 0.000
Ag 0.127 0.627 0.500
Ag 0.627 0.873 0.500
Ag 0.873 0.373 0.500
Ag 0.373 0.127 0.500

## Properties
V (Å³ per atom): 26.034
Formation energy (no corrections) (eV/f.u.): 0.84
SG: P4/mbm (127)
Total DFT energy (no corrections) (eV per atom): -2.6309